[1]
DFT (GGA-PBE) results for a relaxed Na4U3TiTe8 crystal. Values from VASP.

Quantum ESPRESSO input file:
```
&SYSTEM
  ibrav = 0, nat = 16, ntyp = 4
/
ATOMIC_SPECIES
Na 22.99 Na.upf
U 238.03 U.upf
Ti 47.87 Ti.upf
Te 127.60 Te.upf
CELL_PARAMETERS angstrom
-1.530 -0.619 8.467
-4.991 -7.546 -1.453
8.117 0.126 -2.919
ATOMIC_POSITIONS crystal
Na 0.500 0.000 0.000
Na 0.500 0.000 0.500
Na 0.000 0.000 0.000
Na 0.000 0.000 0.500
U 0.500 0.500 0.000
U 0.500 0.500 0.500
U 0.000 0.500 0.500
Ti 0.000 0.500 0.000
Te 0.234 0.728 0.994
Te 0.234 0.728 0.469
Te 0.253 0.259 0.506
Te 0.759 0.728 0.994
Te 0.241 0.272 0.006
Te 0.747 0.741 0.494
Te 0.766 0.272 0.531
Te 0.766 0.272 0.006
```

Space group: R-3m
Magnetization: 10.004 Bohr magnetons per cell
ΔE_f (raw): -1192 kJ/mol of formula units

[2]
DFT (GGA-PBE) results for a relaxed TbCe2Tl crystal. Values from VASP.

Quantum ESPRESSO input file:
```
&SYSTEM
  ibrav = 0, nat = 4, ntyp = 3
/
ATOMIC_SPECIES
Tb 158.93 Tb.upf
Ce 140.12 Ce.upf
Tl 204.38 Tl.upf
CELL_PARAMETERS angstrom
-2.944 -0.483 -1.800
-1.377 -3.190 -0.264
-7.503 0.611 8.732
ATOMIC_POSITIONS crystal
Tb 0.501 0.501 0.498
Ce 0.081 0.081 0.756
Ce 0.252 0.252 0.245
Tl 0.666 0.666 0.001
```

Polymorph energy (0 for the lowest one): 176.9 meV/atom
Calculated formation energy: 1.53 kJ/mol of atoms
Space group: R3m
Magnetization: 1.703 Bohr magnetons per cell

[3]
DFT (GGA-PBE) results for a relaxed Ba2NdOs2N6 crystal. Values from VASP.

Quantum ESPRESSO input file:
```
&SYSTEM
  ibrav = 0, nat = 11, ntyp = 4
/
ATOMIC_SPECIES
Ba 137.33 Ba.upf
Nd 144.24 Nd.upf
Os 190.23 Os.upf
N 14.01 N.upf
CELL_PARAMETERS angstrom
6.147 0.000 0.000
3.074 5.324 0.000
3.074 1.775 6.373
ATOMIC_POSITIONS crystal
Ba 0.787 0.787 0.639
Ba 0.213 0.213 0.361
Nd 0.000 0.000 0.000
Os 0.403 0.403 0.790
Os 0.597 0.597 0.210
N 0.743 0.743 0.264
N 0.250 0.743 0.264
N 0.743 0.250 0.264
N 0.257 0.750 0.736
N 0.750 0.257 0.736
N 0.257 0.257 0.736
```

Space group: R-3m
Magnetization: 0.000 Bohr magnetons per cell
ΔE_f (raw): -458 kJ/mol of formula units

[4]
DFT (GGA-PBE) results for a relaxed PaF5 crystal. Values from VASP.

Quantum ESPRESSO input file:
```
&SYSTEM
  ibrav = 0, nat = 12, ntyp = 2
/
ATOMIC_SPECIES
Pa 231.04 Pa.upf
F 19.00 F.upf
CELL_PARAMETERS angstrom
-1.804 -3.126 0.284
4.021 -2.656 -3.695
4.472 -2.007 6.309
ATOMIC_POSITIONS crystal
Pa 0.000 0.815 0.250
Pa 0.000 0.185 0.750
F 0.000 0.478 0.250
F 0.000 0.522 0.750
F 0.000 0.000 0.000
F 0.000 0.000 0.500
F 0.500 0.055 0.250
F 0.500 0.945 0.750
F 0.500 0.707 0.091
F 0.500 0.293 0.909
F 0.500 0.707 0.409
F 0.500 0.293 0.591
```

Polymorph energy (0 for the lowest one): 0.0 meV/atom
Space group: Pmma
Magnetization: 0.000 Bohr magnetons per cell
ΔE_f (raw): -2131 kJ/mol of formula units

[5]
DFT (GGA-PBE) results for a relaxed ZnSb4Br crystal. Values from VASP.

Quantum ESPRESSO input file:
```
&SYSTEM
  ibrav = 0, nat = 6, ntyp = 3
/
ATOMIC_SPECIES
Zn 65.41 Zn.upf
Sb 121.76 Sb.upf
Br 79.90 Br.upf
CELL_PARAMETERS angstrom
5.430 0.491 3.313
2.167 5.743 1.740
-0.153 1.743 6.136
ATOMIC_POSITIONS crystal
Zn 0.750 0.750 0.750
Sb 0.906 0.365 0.365
Sb 0.365 0.365 0.906
Sb 0.365 0.906 0.365
Sb 0.365 0.365 0.365
Br 0.000 0.000 0.000
```

Space group: F-43m
Magnetization: 0.000 Bohr magnetons per cell
ΔE_f (raw): 139 kJ/mol of formula units

[6]
DFT (GGA-PBE) results for a relaxed Ni3Te3Br crystal. Values from VASP.

Quantum ESPRESSO input file:
```
&SYSTEM
  ibrav = 0, nat = 14, ntyp = 3
/
ATOMIC_SPECIES
Ni 58.69 Ni.upf
Te 127.60 Te.upf
Br 79.90 Br.upf
CELL_PARAMETERS angstrom
-2.930 -2.788 -3.441
3.781 -7.264 2.665
-7.179 2.783 3.858
ATOMIC_POSITIONS crystal
Ni 0.750 0.171 0.339
Ni 0.750 0.168 0.829
Ni 0.750 0.661 0.832
Ni 0.250 0.829 0.661
Ni 0.250 0.832 0.171
Ni 0.250 0.339 0.168
Te 0.750 0.838 0.165
Te 0.750 0.327 0.162
Te 0.750 0.835 0.673
Te 0.250 0.162 0.835
Te 0.250 0.673 0.838
Te 0.250 0.165 0.327
Br 0.750 0.333 0.667
Br 0.250 0.667 0.333
```

Space group: P6_3/m
Magnetization: 0.000 Bohr magnetons per cell
ΔE_f (raw): -23 kJ/mol of formula units

[7]
DFT (GGA-PBE) results for a relaxed Ta2SiMo crystal. Values from VASP.

Quantum ESPRESSO input file:
```
&SYSTEM
  ibrav = 0, nat = 4, ntyp = 3
/
ATOMIC_SPECIES
Mo 95.94 Mo.upf
Si 28.09 Si.upf
Ta 180.95 Ta.upf
CELL_PARAMETERS angstrom
-2.498 4.482 -0.477
-3.009 3.246 2.640
2.066 3.522 1.736
ATOMIC_POSITIONS crystal
Mo 0.250 0.250 0.250
Si 0.750 0.750 0.750
Ta 0.993 0.993 0.007
Ta 0.507 0.507 0.493
```

Space group: C2/m
Magnetization: 0.000 Bohr magnetons per cell
ΔE_f (raw): -75 kJ/mol of formula units

[8]
DFT (GGA-PBE) results for a relaxed Pm2MgSn3Pt4 crystal. Values from VASP.

Quantum ESPRESSO input file:
```
&SYSTEM
  ibrav = 0, nat = 10, ntyp = 4
/
ATOMIC_SPECIES
Pm 145.00 Pm.upf
Mg 24.30 Mg.upf
Sn 118.71 Sn.upf
Pt 195.08 Pt.upf
CELL_PARAMETERS angstrom
-4.072 1.277 1.521
-1.767 -3.912 -1.447
2.164 -4.522 9.588
ATOMIC_POSITIONS crystal
Pm 0.500 0.000 0.241
Pm 0.000 0.500 0.759
Mg 0.500 0.500 0.500
Sn 0.000 0.000 0.500
Sn 0.500 0.000 0.869
Sn 0.000 0.500 0.131
Pt 0.500 0.500 0.000
Pt 0.000 0.000 0.000
Pt 0.500 0.000 0.631
Pt 0.000 0.500 0.369
```

Calculated formation energy: -82.02 kJ/mol of atoms
Space group: P-4m2
Magnetization: 0.000 Bohr magnetons per cell

[9]
DFT (GGA-PBE) results for a relaxed Ag3MoPb crystal. Values from VASP.

Quantum ESPRESSO input file:
```
&SYSTEM
  ibrav = 0, nat = 5, ntyp = 3
/
ATOMIC_SPECIES
Pb 207.20 Pb.upf
Mo 95.94 Mo.upf
Ag 107.87 Ag.upf
CELL_PARAMETERS angstrom
-3.428 -3.176 2.268
3.107 -0.394 4.144
-2.362 4.092 2.159
ATOMIC_POSITIONS crystal
Pb 0.500 0.500 0.500
Mo 0.000 0.000 0.000
Ag 0.000 0.500 0.000
Ag 0.000 0.000 0.500
Ag 0.500 0.000 0.000
```

Polymorph energy (0 for the lowest one): 0.0 meV/atom
Calculated formation energy: 124.42 kJ/mol of atoms
Space group: Pm-3m
Magnetization: 3.568 Bohr magnetons per cell

[10]
DFT (GGA-PBE) results for a relaxed ZnCo2Os crystal. Values from VASP.

Quantum ESPRESSO input file:
```
&SYSTEM
  ibrav = 0, nat = 4, ntyp = 3
/
ATOMIC_SPECIES
Co 58.93 Co.upf
Os 190.23 Os.upf
Zn 65.41 Zn.upf
CELL_PARAMETERS angstrom
2.591 -0.003 0.000
-1.120 2.336 0.000
0.000 0.000 8.480
ATOMIC_POSITIONS crystal
Co 0.000 0.000 0.999
Co 0.000 0.000 0.501
Os 0.500 0.500 0.250
Zn 0.500 0.500 0.750
```

Calculated formation energy: 24.80 kJ/mol of atoms
Space group: Cmmm
Magnetization: 3.017 Bohr magnetons per cell

[11]
DFT (GGA-PBE) results for a relaxed LaZr2Au crystal. Values from VASP.

Quantum ESPRESSO input file:
```
&SYSTEM
  ibrav = 0, nat = 4, ntyp = 3
/
ATOMIC_SPECIES
Au 196.97 Au.upf
La 138.91 La.upf
Zr 91.22 Zr.upf
CELL_PARAMETERS angstrom
-2.507 1.994 -4.108
2.829 -2.999 -3.183
-2.296 -2.411 0.231
ATOMIC_POSITIONS crystal
Au 0.500 0.000 0.500
La 0.000 0.500 0.500
Zr 0.000 0.000 0.000
Zr 0.500 0.500 0.000
```

Polymorph energy (0 for the lowest one): 232.6 meV/atom
Calculated formation energy: -5.01 kJ/mol of atoms
Space group: P4/mmm
Magnetization: 0.000 Bohr magnetons per cell

[12]
DFT (GGA-PBE) results for a relaxed Bi2O2F crystal. Values from VASP.

Quantum ESPRESSO input file:
```
&SYSTEM
  ibrav = 0, nat = 5, ntyp = 3
/
ATOMIC_SPECIES
Bi 208.98 Bi.upf
O 16.00 O.upf
F 19.00 F.upf
CELL_PARAMETERS angstrom
3.934 0.002 -0.039
1.967 3.407 -0.039
2.022 1.168 6.563
ATOMIC_POSITIONS crystal
Bi 0.583 0.083 0.253
Bi 0.417 0.917 0.747
O 0.234 0.734 0.300
O 0.766 0.266 0.700
F 0.000 0.500 0.000
```

Space group: C2/m
Magnetization: 0.000 Bohr magnetons per cell
ΔE_f (raw): -589 kJ/mol of formula units